[1]
SrPrMg after structural relaxation, computed with PBE.

Cell lengths 7.946, 7.946, 7.946 Å; angles 90.00, 90.00, 90.00 degrees
Space group F-43m (No. 216)
Symmetry-distinct sites (fractional):
Sr 0.000 0.000 0.000 (multiplicity 4)
Pr 0.000 0.000 0.500 (multiplicity 4)
Mg 0.250 0.250 0.750 (multiplicity 4)

- DFT total energy: -2.334 eV/atom
- Density: 3.348 Mg/m³
- Size of the total moment: 0.1 μB per cell

[2]
YCuTcPb after structural relaxation, computed with PBE.

Cell lengths 6.845, 6.845, 6.845 Å; angles 90.00, 90.00, 90.00 degrees
Space group F-43m (No. 216)
Symmetry-distinct sites (fractional):
Y 0.000 0.000 0.000 (multiplicity 4)
Cu 0.000 0.000 0.500 (multiplicity 4)
Tc 0.250 0.250 0.750 (multiplicity 4)
Pb 0.250 0.250 0.250 (multiplicity 4)

- DFT total energy: -5.571 eV/atom
- Density: 9.477 Mg/m³
- Size of the total moment: 0.1 μB per cell

[3]
Y3Tc5N12 after structural relaxation, computed with PBE.

Cell lengths 12.616, 12.616, 12.616 Å; angles 90.00, 90.00, 90.00 degrees
Space group Ia-3d (No. 230)
Symmetry-distinct sites (fractional):
Y 0.000 0.250 0.125 (multiplicity 24)
Tc 0.000 0.000 0.000 (multiplicity 16)
Tc 0.000 0.250 0.375 (multiplicity 24)
N 0.033 0.051 0.649 (multiplicity 96)

- DFT total energy: -8.989 eV/atom
- Density: 6.118 Mg/m³
- Size of the total moment: 1.9 μB per cell

[4]
BeCo2Si after structural relaxation, computed with PBE.

Cell lengths 3.7063, 3.7063, 7.0833 Å; angles 90.00, 90.00, 120.00 degrees
Space group P6_3/mmc (No. 194)
Symmetry-distinct sites (fractional):
Be 0.0000 0.0000 0.0000 (multiplicity 2)
Co 0.3333 0.6667 0.0868 (multiplicity 4)
Si 0.3333 0.6667 0.7500 (multiplicity 2)

- DFT total energy: -6.115 eV/atom
- Density: 6.107 Mg/m³
- Size of the total moment: 2.8 μB per cell

[5]
PrZnAg after structural relaxation, computed with PBE.

Cell lengths 4.743, 7.211, 8.072 Å; angles 90.00, 90.00, 90.00 degrees
Space group Imm2 (No. 44)
Symmetry-distinct sites (fractional):
Pr 0.000 0.000 0.000 (multiplicity 2)
Pr 0.000 0.500 0.058 (multiplicity 2)
Zn 0.000 0.294 0.696 (multiplicity 4)
Ag 0.000 0.214 0.364 (multiplicity 4)

- Density: 7.559 Mg/m³
- Size of the total moment: 0.0 μB per cell
- ΔH_f (0 K): -329 meV/atom

[6]
SmBO5 after structural relaxation, computed with PBE.

Cell lengths 4.178, 4.239, 5.259 Å; angles 72.50, 73.38, 86.23 degrees
Space group P1 (No. 1)
Symmetry-distinct sites (fractional):
Sm 0.000 0.000 0.000 (multiplicity 1)
B 0.253 0.266 0.314 (multiplicity 1)
O 0.025 0.442 0.178 (multiplicity 1)
O 0.259 0.271 0.567 (multiplicity 1)
O 0.443 0.052 0.176 (multiplicity 1)
O 0.580 0.694 0.770 (multiplicity 1)
O 0.849 0.760 0.580 (multiplicity 1)

- DFT total energy: -7.124 eV/atom
- Density: 4.707 Mg/m³
- Size of the total moment: 2.0 μB per cell

[7]
RbBeFe after structural relaxation, computed with PBE.

Cell lengths 6.838, 6.838, 6.838 Å; angles 90.00, 90.00, 90.00 degrees
Space group F-43m (No. 216)
Symmetry-distinct sites (fractional):
Rb 0.000 0.000 0.000 (multiplicity 4)
Be 0.250 0.250 0.750 (multiplicity 4)
Fe 0.000 0.000 0.500 (multiplicity 4)

- DFT total energy: -2.698 eV/atom
- Density: 3.123 Mg/m³
- Size of the total moment: 10.7 μB per cell

[8]
LaAgPt after structural relaxation, computed with PBE.

Cell lengths 6.926, 6.926, 6.926 Å; angles 90.00, 90.00, 90.00 degrees
Space group F-43m (No. 216)
Symmetry-distinct sites (fractional):
La 0.000 0.000 0.000 (multiplicity 4)
Ag 0.250 0.250 0.750 (multiplicity 4)
Pt 0.250 0.250 0.250 (multiplicity 4)

- Density: 8.835 Mg/m³
- Size of the total moment: 0.0 μB per cell
- ΔH_f (0 K): -264 meV/atom